[1]
A geometry-optimized V3AuN structure, computed with PBE.

Output
ρ in Mg/m³: 9.51
Formation energy without anion corrections in eV per atom: -0.498

Lattice parameters (Å, degrees): 9.1780 2.8407 4.9549 90.00 79.62 90.00
Closest atoms and distances in Å follow each position.
Atoms (fractional coordinates):
V 0.9238 0.1566 0.3455  3 N 1.99-2.03
N 0.0529 0.6566 0.4559  6 V 1.98-2.03
Au 0.4210 0.1567 0.1547  6 V 2.80-2.94, 6 Au 2.84-2.87
V 0.6891 0.1568 0.7278  1 N 2.02
Au 0.4331 0.6568 0.6533  6 V 2.76-2.90, 6 Au 2.84-2.87
V 0.1649 0.6564 0.0640  1 N 2.03
V 0.6761 0.6567 0.2355  2 N 1.97
V 0.9318 0.6567 0.8414  3 N 1.99-2.03
V 0.1757 0.1566 0.5825  2 N 1.98
N 0.8026 0.1567 0.0409  6 V 1.97-2.03


[2]
A geometry-optimized V3AuN structure, computed with PBE.

Output
ρ in Mg/m³: 8.90
Formation energy without anion corrections in eV per atom: 0.020

Lattice parameters (Å, degrees): 5.1399 5.1399 5.1399 89.52 89.52 89.52
Closest atoms and distances in Å follow each position.
Atoms (fractional coordinates):
V 0.4972 0.7500 0.0028  1 N 1.83
Au 0.5000 0.5000 0.5000  2 N 2.24
N 0.2500 0.2500 0.2500  3 V 1.83
V 0.5028 0.2500 0.9972  1 N 1.83
Au 0.0000 0.0000 0.0000  2 N 2.24
V 0.0028 0.4972 0.7500  1 N 1.83
V 0.7500 0.0028 0.4972  1 N 1.83
N 0.7500 0.7500 0.7500  3 V 1.83
V 0.2500 0.9972 0.5028  1 N 1.83
V 0.9972 0.5028 0.2500  1 N 1.83


[3]
A geometry-optimized V3AuN structure, computed with PBE.

Output
ρ in Mg/m³: 8.44
Formation energy without anion corrections in eV per atom: -0.272

Lattice parameters (Å, degrees): 4.1261 12.5802 5.5181 90.00 90.00 90.00
Closest atoms and distances in Å follow each position.
Atoms (fractional coordinates):
V 0.5001 0.6332 0.6269  1 N 1.88
V 0.5001 0.8668 0.6269  1 N 1.88
V 0.0002 0.7500 0.4428  3 N 1.98-2.07
Au 0.5000 0.0000 0.0000  6 V 2.65-2.75
N 0.4998 0.2500 0.5843  5 V 1.88-2.07
V 0.4998 0.2500 0.9428  3 N 1.98-2.07
V 0.9998 0.2500 0.5572  3 N 1.98-2.07
N 0.5002 0.7500 0.4157  5 V 1.88-2.07
V 0.5002 0.7500 0.0572  3 N 1.98-2.07
N 0.9998 0.2500 0.9157  5 V 1.88-2.07
V 0.4999 0.3668 0.3731  1 N 1.88
V 0.4999 0.1332 0.3731  1 N 1.88
V 0.0001 0.6332 0.8731  1 N 1.88
V 0.9999 0.1332 0.1269  1 N 1.88
N 0.0002 0.7500 0.0843  5 V 1.88-2.07
Au 0.0000 0.5000 0.5000  6 V 2.65-2.75
Au 0.0000 0.0000 0.5000  6 V 2.65-2.75
V 0.0001 0.8668 0.8731  1 N 1.88
Au 0.5000 0.5000 0.0000  6 V 2.65-2.75
V 0.9999 0.3668 0.1269  1 N 1.88


[4]
A geometry-optimized V3AuN structure, computed with PBE.

Output
ρ in Mg/m³: 5.22
Formation energy without anion corrections in eV per atom: 2.301

Lattice parameters (Å, degrees): 4.8744 4.8744 4.8744 90.00 90.00 90.00
Closest atoms and distances in Å follow each position.
Atoms (fractional coordinates):
V 0.0000 0.0000 0.5000  2 Au 2.44
N 0.5000 0.5000 0.5000  12 V 3.45
V 0.5000 0.0000 0.0000  2 Au 2.44
V 0.0000 0.5000 0.0000  2 Au 2.44
Au 0.0000 0.0000 0.0000  6 V 2.44


[5]
A geometry-optimized V3AuN structure, computed with PBE.

Output
ρ in Mg/m³: 8.14
Formation energy without anion corrections in eV per atom: -0.178

Lattice parameters (Å, degrees): 19.6216 7.2796 7.2796 156.83 155.90 24.10
Closest atoms and distances in Å follow each position.
Atoms (fractional coordinates):
Au 0.1644 0.9978 0.0022  5 V 2.64-2.83, 2 Au 2.92
V 0.9190 0.7011 0.2989  1 N 2.24, 2 V 2.38
V 0.0810 0.2989 0.7011  1 N 2.24, 2 V 2.38
V 0.4423 0.7640 0.2360  3 N 2.01-2.03
N 0.6324 0.0032 0.9968  6 V 2.01-2.24
V 0.5577 0.2360 0.7640  3 N 2.01-2.03
V 0.2020 0.7603 0.2397  2 N 2.02
Au 0.8356 0.0022 0.9978  5 V 2.64-2.83, 2 Au 2.92
V 0.7980 0.2397 0.7603  2 N 2.02
N 0.3676 0.9968 0.0032  6 V 2.01-2.24


[6]
A geometry-optimized V3AuN structure, computed with PBE.

Output
ρ in Mg/m³: 7.74
Formation energy without anion corrections in eV per atom: 0.372

Lattice parameters (Å, degrees): 4.5334 4.5334 4.5334 106.79 106.79 106.79
Closest atoms and distances in Å follow each position.
Atoms (fractional coordinates):
Au 0.3828 0.3828 0.3828  1 N 2.08
V 0.7055 0.7055 0.1061  1 N 1.82
N 0.9751 0.9751 0.9751  3 V 1.82
V 0.7055 0.1061 0.7055  1 N 1.82
V 0.1061 0.7055 0.7055  1 N 1.82